1.
Here is a relaxed Mn2RePt crystal from Alexandria via LeMat-Bulk. Energies are from GGA-PBE.

Computed properties:
Uncorrected energy: -36.6 eV per cell
Formation energy from the elements: 6.43 kJ/mol of atoms

abc: 2.672 4.296 5.014
angles: 90.00 95.25 90.00
Space group P2/m (No. 10)
Inequivalent atoms, fractional coordinates:
Mn  0.238  0.000  0.265 [2 per cell]
Re  0.000  0.500  0.500 [1 per cell]
Pt  0.500  0.500  0.000 [1 per cell]

=====

2.
Here is a relaxed MnRePt2 crystal from Alexandria via LeMat-Bulk. Energies are from GGA-PBE.

Computed properties:
Uncorrected energy: -118.2 eV per cell
Formation energy from the elements: 99.91 kJ/mol of atoms
Offset from the most stable computed form: 1213 meV per atom

abc: 5.392 5.392 11.411
angles: 90.00 90.00 90.00
Space group I-42d (No. 122)
Inequivalent atoms, fractional coordinates:
Mn  0.000  0.000  0.000 [4 per cell]
Re  0.000  0.000  0.500 [4 per cell]
Pt  0.232  0.250  0.125 [8 per cell]

=====

3.
Here is a relaxed MnRePt2 crystal from Alexandria via LeMat-Bulk. Energies are from GGA-PBE.

Computed properties:
Uncorrected energy: -101.8 eV per cell
Formation energy from the elements: -5.49 kJ/mol of atoms
Offset from the most stable computed form: 120 meV per atom

abc: 2.7542 2.7542 26.8724
angles: 90.00 90.00 120.00
Space group R3m (No. 160, hexagonal axes)
Inequivalent atoms, fractional coordinates:
Mn  0.0000  0.0000  0.0000 [3 per cell]
Re  0.0000  0.0000  0.2548 [3 per cell]
Pt  0.0000  0.0000  0.5034 [3 per cell]
Pt  0.0000  0.0000  0.7457 [3 per cell]

=====

4.
Here is a relaxed Mn2RePt crystal from Alexandria via LeMat-Bulk. Energies are from GGA-PBE.

Computed properties:
Uncorrected energy: -37.0 eV per cell
Formation energy from the elements: -4.59 kJ/mol of atoms

abc: 2.703 2.703 7.455
angles: 90.00 90.00 90.00
Space group P4mm (No. 99)
Inequivalent atoms, fractional coordinates:
Mn  0.000  0.000  0.000 [1 per cell]
Mn  0.500  0.500  0.222 [1 per cell]
Re  0.500  0.500  0.762 [1 per cell]
Pt  0.000  0.000  0.486 [1 per cell]

=====

5.
Here is a relaxed MnRePt crystal from Alexandria via LeMat-Bulk. Energies are from GGA-PBE.

Computed properties:
Uncorrected energy: -54.9 eV per cell
Formation energy from the elements: 7.21 kJ/mol of atoms
Offset from the most stable computed form: 135 meV per atom

abc: 3.189 3.189 8.496
angles: 90.00 90.00 90.00
Space group I4mm (No. 107)
Inequivalent atoms, fractional coordinates:
Mn  0.000  0.000  0.000 [2 per cell]
Re  0.000  0.000  0.646 [2 per cell]
Pt  0.000  0.000  0.332 [2 per cell]

=====

6.
Here is a relaxed MnRePt2 crystal from Alexandria via LeMat-Bulk. Energies are from GGA-PBE.

Computed properties:
Uncorrected energy: -34.4 eV per cell
Formation energy from the elements: -16.35 kJ/mol of atoms
Offset from the most stable computed form: 8 meV per atom

abc: 2.749 3.972 5.419
angles: 90.00 90.00 90.00
Space group Pmmm (No. 47)
Inequivalent atoms, fractional coordinates:
Mn  0.000  0.000  0.000 [1 per cell]
Re  0.000  0.000  0.500 [1 per cell]
Pt  0.500  0.500  0.252 [2 per cell]

=====

7.
Here is a relaxed Mn2Re2Pt crystal from Alexandria via LeMat-Bulk. Energies are from GGA-PBE.

Computed properties:
Uncorrected energy: -98.0 eV per cell
Formation energy from the elements: 5.71 kJ/mol of atoms

abc: 7.023 7.023 2.763
angles: 90.00 90.00 90.00
Space group P4/mbm (No. 127)
Inequivalent atoms, fractional coordinates:
Mn  0.131  0.369  0.000 [4 per cell]
Re  0.165  0.665  0.500 [4 per cell]
Pt  0.000  0.000  0.000 [2 per cell]

=====

8.
Here is a relaxed MnRePt2 crystal from Alexandria via LeMat-Bulk. Energies are from GGA-PBE.

Computed properties:
Uncorrected energy: -68.7 eV per cell
Formation energy from the elements: -16.20 kJ/mol of atoms
Offset from the most stable computed form: 9 meV per atom

abc: 9.108 2.745 4.830
angles: 90.00 100.19 90.00
Space group Cm (No. 8)
Inequivalent atoms, fractional coordinates:
Mn  0.000  0.000  0.000 [2 per cell]
Re  0.242  0.500  0.267 [2 per cell]
Pt  0.251  0.000  0.773 [2 per cell]
Pt  0.492  0.000  0.485 [2 per cell]

=====

9.
Here is a relaxed MnRePt2 crystal from Alexandria via LeMat-Bulk. Energies are from GGA-PBE.

Computed properties:
Uncorrected energy: -34.1 eV per cell
Formation energy from the elements: -10.29 kJ/mol of atoms
Offset from the most stable computed form: 71 meV per atom

abc: 2.744 3.850 5.560
angles: 90.00 90.00 90.00
Space group Pmm2 (No. 25)
Inequivalent atoms, fractional coordinates:
Mn  0.000  0.000  0.000 [1 per cell]
Re  0.500  0.500  0.761 [1 per cell]
Pt  0.000  0.000  0.518 [1 per cell]
Pt  0.500  0.500  0.241 [1 per cell]

=====

10.
Here is a relaxed MnRePt crystal from Alexandria via LeMat-Bulk. Energies are from GGA-PBE.

Computed properties:
Uncorrected energy: -55.7 eV per cell
Formation energy from the elements: -5.84 kJ/mol of atoms
Offset from the most stable computed form: 0 meV per atom

abc: 2.693 3.819 8.254
angles: 90.00 90.00 90.00
Space group Imm2 (No. 44)
Inequivalent atoms, fractional coordinates:
Mn  0.000  0.000  0.000 [2 per cell]
Re  0.000  0.000  0.349 [2 per cell]
Pt  0.000  0.000  0.673 [2 per cell]

=====

11.
Here is a relaxed Mn2RePt crystal from Alexandria via LeMat-Bulk. Energies are from GGA-PBE.

Computed properties:
Uncorrected energy: -37.1 eV per cell
Formation energy from the elements: -7.25 kJ/mol of atoms

abc: 2.672 3.814 5.355
angles: 90.00 90.00 90.00
Space group Pmm2 (No. 25)
Inequivalent atoms, fractional coordinates:
Mn  0.000  0.000  0.000 [1 per cell]
Mn  0.500  0.500  0.233 [1 per cell]
Re  0.500  0.500  0.765 [1 per cell]
Pt  0.000  0.000  0.490 [1 per cell]

=====

12.
Here is a relaxed MnRePt crystal from Alexandria via LeMat-Bulk. Energies are from GGA-PBE.

Computed properties:
Uncorrected energy: -106.1 eV per cell
Formation energy from the elements: 36.75 kJ/mol of atoms
Offset from the most stable computed form: 441 meV per atom

abc: 5.759 5.759 5.759
angles: 90.00 90.00 90.00
Space group F-43m (No. 216)
Inequivalent atoms, fractional coordinates:
Mn  0.000  0.000  0.000 [4 per cell]
Re  0.250  0.250  0.250 [4 per cell]
Pt  0.250  0.250  0.750 [4 per cell]